An optimized crystal structure of YThGa2Pt2, computed with GGA-PBE.

Calculated values
- ΔH_f (0 K) (kJ/mol of atoms) = -100.7
- calculated volume (A^3/atom) = 20.89
- Fermi-level density of states (states/eV per cell) = 5.391
- magnetic moment (μB/f.u.) = 0.00

Structure (CIF):
```
data_YThGa2Pt2
_cell_length_a 4.4900
_cell_length_b 4.4900
_cell_length_c 7.1778
_cell_angle_alpha 90.00
_cell_angle_beta 90.00
_cell_angle_gamma 120.00
_symmetry_space_group_name_H-M 'P -3 m 1'
_symmetry_Int_Tables_number 164
_symmetry_space_group_name_Hall '-P 3 2"'
loop_
_atom_site_label
_atom_site_type_symbol
_atom_site_fract_x
_atom_site_fract_y
_atom_site_fract_z
Y1 Y 0.0000 0.0000 0.0000
Th1 Th 0.0000 0.0000 0.5000
Ga1 Ga 0.3333 0.6667 0.7702
Pt1 Pt 0.3333 0.6667 0.2422
```